No. 1
Compound: Hf6C2S
Source: Alexandria via LeMat-Bulk
Functional: PBE-GGA
Structure: optimized geometry

Properties
- D(E_F) (states/eV/cell) = 6.97
- ΔE_f (raw) (kJ/mol of formula units) = -609
- crystal system = monoclinic

a = 3.323 Å, b = 6.637 Å, c = 7.489 Å
α = 100.45°, β = 102.82°, γ = 90.00°
Positions (direct):
Hf (0.326, 0.896, 0.653)
Hf (0.012, 0.281, 0.023)
Hf (0.672, 0.578, 0.344)
Hf (0.988, 0.719, 0.977)
Hf (0.674, 0.104, 0.347)
Hf (0.328, 0.422, 0.656)
C (0.830, 0.663, 0.659)
C (0.170, 0.337, 0.341)
S (0.500, 0.000, 0.000)



No. 2
Compound: HfCS2
Source: Alexandria via LeMat-Bulk
Functional: PBE-GGA
Structure: optimized geometry

Properties
- D(E_F) (states/eV/cell) = 2.09
- ΔE_f (raw) (kJ/mol of formula units) = 68
- crystal system = trigonal

a = 6.969 Å, b = 6.969 Å, c = 6.969 Å
α = 27.91°, β = 27.91°, γ = 27.91°
Positions (direct):
S (0.920, 0.920, 0.920)
S (0.080, 0.080, 0.080)
Hf (0.500, 0.500, 0.500)
C (0.000, 0.000, 0.000)



No. 3
Compound: Hf3CS
Source: Alexandria via LeMat-Bulk
Functional: PBE-GGA
Structure: optimized geometry

Properties
- D(E_F) (states/eV/cell) = 7.13
- ΔE_f (raw) (kJ/mol of formula units) = -308
- offset from the most stable computed form (meV/atom) = 0
- crystal system = orthorhombic

a = 3.203 Å, b = 8.876 Å, c = 5.927 Å
α = 90.00°, β = 90.00°, γ = 90.00°
Positions (direct):
Hf (0.750, 0.791, 0.995)
Hf (0.250, 0.209, 0.005)
Hf (0.750, 0.791, 0.505)
Hf (0.250, 0.209, 0.495)
Hf (0.250, 0.514, 0.250)
Hf (0.750, 0.486, 0.750)
C (0.750, 0.309, 0.250)
C (0.250, 0.691, 0.750)
S (0.250, 0.959, 0.250)
S (0.750, 0.041, 0.750)



Number 1: volume 17.58 Å³/atom, spin magnetization 0.000 μB per atom. Number 2: volume 16.37 Å³/atom, spin magnetization 0.000 μB per atom. Number 3: volume 16.85 Å³/atom, spin magnetization 0.000 μB per atom.